# 1
Here is a geometry-optimized SrLiCa2 structure from Alexandria. Energies are from GGA-PBE.

Calculated values
Relative energy among the computed polymorphs ... 0 meV/atom
Energy relative to the elements ... 0.017 eV/atom
DOS at the Fermi energy ... 0.877 states/eV/atom
V ... 39.705 A^3/atom

Unit cell a=4.1346 b=4.1374 c=9.2841 alpha=90.00 beta=90.00 gamma=90.00
Atoms (fractional coordinates):
Ca 0.0000 0.0000 0.0178
Ca 0.5000 0.5000 0.2866
Li 0.0000 0.0000 0.4796
Sr 0.5000 0.5000 0.7160

***

# 2
Here is a geometry-optimized Sr3Li2Ca5 structure from Alexandria. Energies are from GGA-PBE.

Calculated values
Energy relative to the elements ... 0.039 eV/atom
DOS at the Fermi energy ... 1.048 states/eV/atom
V ... 42.247 A^3/atom

Unit cell a=5.3741 b=12.5388 c=12.5388 alpha=90.00 beta=90.00 gamma=90.00
Atoms (fractional coordinates):
Sr 0.0000 0.8257 0.6743
Ca 0.5000 0.7881 0.9286
Ca 0.5000 0.2119 0.0714
Ca 0.5000 0.5000 0.0000
Sr 0.0000 0.6743 0.1743
Ca 0.5000 0.0714 0.7881
Li 0.0000 0.3809 0.1191
Ca 0.5000 0.5714 0.7119
Sr 0.0000 0.5000 0.5000
Sr 0.0000 0.3257 0.8257
Sr 0.0000 0.0000 0.0000
Li 0.0000 0.6191 0.8809
Sr 0.0000 0.1743 0.3257
Ca 0.5000 0.9286 0.2119
Li 0.0000 0.8809 0.3809
Li 0.0000 0.1191 0.6191
Ca 0.5000 0.7119 0.4286
Ca 0.5000 0.2881 0.5714
Ca 0.5000 0.4286 0.2881
Ca 0.5000 0.0000 0.5000

***

DOS at the Fermi energy of number 2 (Sr3Li2Ca5)?
1.048 states/eV/atom

***

Which of these has the lowest V?
SrLiCa2

***

Please write out number 2 again, unchanged.
Here is a geometry-optimized Sr3Li2Ca5 structure from Alexandria. Energies are from GGA-PBE.

Calculated values
Energy relative to the elements ... 0.039 eV/atom
DOS at the Fermi energy ... 1.048 states/eV/atom
V ... 42.247 A^3/atom

Unit cell a=5.3741 b=12.5388 c=12.5388 alpha=90.00 beta=90.00 gamma=90.00
Atoms (fractional coordinates):
Sr 0.0000 0.8257 0.6743
Ca 0.5000 0.7881 0.9286
Ca 0.5000 0.2119 0.0714
Ca 0.5000 0.5000 0.0000
Sr 0.0000 0.6743 0.1743
Ca 0.5000 0.0714 0.7881
Li 0.0000 0.3809 0.1191
Ca 0.5000 0.5714 0.7119
Sr 0.0000 0.5000 0.5000
Sr 0.0000 0.3257 0.8257
Sr 0.0000 0.0000 0.0000
Li 0.0000 0.6191 0.8809
Sr 0.0000 0.1743 0.3257
Ca 0.5000 0.9286 0.2119
Li 0.0000 0.8809 0.3809
Li 0.0000 0.1191 0.6191
Ca 0.5000 0.7119 0.4286
Ca 0.5000 0.2881 0.5714
Ca 0.5000 0.4286 0.2881
Ca 0.5000 0.0000 0.5000